1.
## MnZnNi2 (PBE)

Data for a relaxed MnZnNi2 crystal.

The space group is Cm (No. 8) and the conventional cell measures 8.8777, 2.8275 and 4.1286 Å, with angles of 90.00, 109.93 and 90.00 degrees. The inequivalent atoms are Mn at (0.0000, 0.0000, 0.0000), Zn at (0.2611, 0.5000, 0.3199), Ni at (0.0062, 0.5000, 0.5046) and Ni at (0.2530, 0.0000, 0.8128).

The value obtained for the final energy is -5.591 eV/atom. The value obtained for the formation enthalpy at 0 K is -35 kJ/mol of formula units.

=====

2.
## MnZn2Ni3 (PBE)

Data for a relaxed MnZn2Ni3 crystal.

The space group is P-3m1 (No. 164) and the conventional cell measures 4.0916, 4.0916 and 10.0344 Å, with angles of 90.00, 90.00 and 120.00 degrees. The inequivalent atoms are Mn at (0.3333, 0.6667, 0.1662), Zn at (0.0000, 0.0000, 0.0000), Zn at (0.0000, 0.0000, 0.5000), Zn at (0.3333, 0.6667, 0.6686), Ni at (0.0000, 0.0000, 0.2501), Ni at (0.3333, 0.6667, 0.4166) and Ni at (0.3333, 0.6667, 0.9164).

The offset from the most stable computed form is 0 meV per atom. The value obtained for the final energy is -5.021 eV/atom. The value obtained for the formation enthalpy at 0 K is -103 kJ/mol of formula units.

=====

3.
## MnZn3Ni7 (PBE)

Data for a relaxed MnZn3Ni7 crystal.

The space group is C2/m (No. 12) and the conventional cell measures 8.2093, 8.3777 and 4.5692 Å, with angles of 90.00, 114.77 and 90.00 degrees. The inequivalent atoms are Mn at (0.0000, 0.0000, 0.0000), Zn at (0.0000, 0.2860, 0.5000), Zn at (0.0000, 0.5000, 0.0000), Ni at (0.0000, 0.0000, 0.5000), Ni at (0.1743, 0.2555, 0.1755) and Ni at (0.2154, 0.5000, 0.5477).

The value obtained for the final energy is -4.694 eV/atom. The value obtained for the formation enthalpy at 0 K is 176 kJ/mol of formula units.

=====

Number 1: density of states at the Fermi level 4.53 states/eV/cell. Number 2: density of states at the Fermi level 7.59 states/eV/cell. Number 3: density of states at the Fermi level 21.96 states/eV/cell.